Pm2YMg | PBE-GGA | relaxed

Output
Crystal system: trigonal
Electronic total energy, eV for the cell shown: -17.40
Space-group type: R3m (160)

Geometry as CIF:
```
data_Pm2YMg
_symmetry_space_group_name_H-M 'P 1'
_symmetry_Int_Tables_number 1
_symmetry_space_group_name_Hall 'P 1'
_cell_length_a 11.683
_cell_length_b 11.683
_cell_length_c 11.683
_cell_angle_alpha 17.56
_cell_angle_beta 17.56
_cell_angle_gamma 17.56
loop_
_atom_site_label
_atom_site_type_symbol
_atom_site_fract_x
_atom_site_fract_y
_atom_site_fract_z
_atom_site_occupancy
Pm1 Pm 0.000 0.000 0.000 1
Pm2 Pm 0.163 0.163 0.163 1
Y1 Y 0.581 0.581 0.581 1
Mg1 Mg 0.748 0.748 0.748 1
```

Pm8Y2Mg | PBE-GGA | relaxed

Output
Crystal system: tetragonal
Electronic total energy, eV for the cell shown: -51.44
Space-group type: P4/mmm (123)

Geometry as CIF:
```
data_Pm8Y2Mg
_symmetry_space_group_name_H-M 'P 1'
_symmetry_Int_Tables_number 1
_symmetry_space_group_name_Hall 'P 1'
_cell_length_a 5.159
_cell_length_b 5.159
_cell_length_c 14.227
_cell_angle_alpha 90.00
_cell_angle_beta 90.00
_cell_angle_gamma 90.00
loop_
_atom_site_label
_atom_site_type_symbol
_atom_site_fract_x
_atom_site_fract_y
_atom_site_fract_z
_atom_site_occupancy
Pm1 Pm 0.000 0.000 0.178 1
Pm2 Pm 0.000 0.000 0.822 1
Pm3 Pm 0.000 0.500 0.000 1
Pm4 Pm 0.000 0.500 0.358 1
Pm5 Pm 0.000 0.500 0.642 1
Pm6 Pm 0.500 0.000 0.000 1
Pm7 Pm 0.500 0.000 0.358 1
Pm8 Pm 0.500 0.000 0.642 1
Y1 Y 0.500 0.500 0.183 1
Y2 Y 0.500 0.500 0.817 1
Mg1 Mg 0.500 0.500 0.500 1
```

Pm2YMg | PBE-GGA | relaxed

Output
Crystal system: trigonal
Electronic total energy, eV for the cell shown: -16.81
Space-group type: R-3m (166)

Geometry as CIF:
```
data_Pm2YMg
_symmetry_space_group_name_H-M 'P 1'
_symmetry_Int_Tables_number 1
_symmetry_space_group_name_Hall 'P 1'
_cell_length_a 12.640
_cell_length_b 12.640
_cell_length_c 12.640
_cell_angle_alpha 15.93
_cell_angle_beta 15.93
_cell_angle_gamma 15.93
loop_
_atom_site_label
_atom_site_type_symbol
_atom_site_fract_x
_atom_site_fract_y
_atom_site_fract_z
_atom_site_occupancy
Pm1 Pm 0.089 0.089 0.089 1
Pm2 Pm 0.911 0.911 0.911 1
Y1 Y 0.500 0.500 0.500 1
Mg1 Mg 0.000 0.000 0.000 1
```